(1)
Compound: Na3Zr2FeS6
Source: Alexandria
Functional: PBE-GGA
Structure: relaxed

## Properties
As for the mass density: 3.48 g cm⁻³. As for the space-group type: C2/m. Its crystal system is monoclinic. The calculation puts the raw formation energy at -1.237 eV per atom.

Lattice parameters (Å, degrees): 6.4057 6.4057 7.0399 98.73 98.73 119.98
Element x y z (fractional)
1 Fe 0.0000 0.0000 0.0000
2 S 0.2568 0.2568 0.7819
3 S 0.9273 0.5978 0.7820
4 S 0.0727 0.4022 0.2180
5 S 0.4022 0.0727 0.2180
6 S 0.7432 0.7432 0.2181
7 S 0.5978 0.9273 0.7820
8 Zr 0.3334 0.6666 0.0000
9 Zr 0.6666 0.3334 0.0000
10 Na 0.8328 0.1672 0.5000
11 Na 0.5000 0.5000 0.5000
12 Na 0.1672 0.8328 0.5000

(2)
Compound: Na2Zr2FeS6
Source: Alexandria
Functional: PBE-GGA
Structure: relaxed

## Properties
As for the mass density: 3.49 g cm⁻³. As for the space-group type: C2/m. Its crystal system is monoclinic. The calculation puts the raw formation energy at -1.204 eV per atom.

Lattice parameters (Å, degrees): 6.1550 6.1550 7.2160 98.62 98.62 119.62
Element x y z (fractional)
1 Fe 0.0000 0.0000 0.5000
2 S 0.3838 0.0753 0.7095
3 S 0.6162 0.9247 0.2905
4 S 0.2354 0.2354 0.2927
5 S 0.0753 0.3838 0.7095
6 S 0.7646 0.7646 0.7073
7 S 0.9247 0.6162 0.2905
8 Na 0.1725 0.8275 0.0000
9 Na 0.8275 0.1725 0.0000
10 Zr 0.3326 0.6674 0.5000
11 Zr 0.6674 0.3326 0.5000

(3)
Compound: NaFeSb6
Source: Alexandria
Functional: PBE-GGA
Structure: relaxed

## Properties
As for the mass density: 5.76 g cm⁻³. As for the space-group type: C2/m. Its crystal system is monoclinic. The calculation puts the raw formation energy at 0.055 eV per atom.

Lattice parameters (Å, degrees): 8.3297 8.3297 8.6296 107.48 107.35 112.33
Element x y z (fractional)
1 Sb 0.5221 0.1875 0.3737
2 Sb 0.3822 0.4940 0.1848
3 Sb 0.8318 0.7121 0.5439
4 Sb 0.3092 0.1973 0.8152
5 Sb 0.4779 0.8125 0.6263
6 Sb 0.1862 0.8515 0.3737
7 Sb 0.1682 0.2879 0.4561
8 Sb 0.6178 0.5060 0.8152
9 Sb 0.1155 0.5829 0.6984
10 Sb 0.8138 0.1485 0.6263
11 Sb 0.8845 0.4171 0.3016
12 Sb 0.6908 0.8027 0.1848
13 Na 0.0000 0.5000 0.0000
14 Na 0.5000 0.0000 0.0000
15 Fe 0.5000 0.5000 0.5000
16 Fe 0.0000 0.0000 0.5000

(4)
Compound: NaFe3Sb
Source: Alexandria
Functional: PBE-GGA
Structure: relaxed

## Properties
As for the mass density: 5.67 g cm⁻³. As for the space-group type: Pm-3m. Its crystal system is cubic. The calculation puts the raw formation energy at 1.607 eV per atom. The energy above the most stable polymorph in this dataset is 0.551 eV per atom.

Lattice parameters (Å, degrees): 4.5049 4.5049 4.5049 90.00 90.00 90.00
Element x y z (fractional)
1 Fe 0.0000 0.5000 0.0000
2 Fe 0.5000 0.0000 0.0000
3 Fe 0.0000 0.0000 0.5000
4 Sb 0.5000 0.5000 0.5000
5 Na 0.0000 0.0000 0.0000